No. 1
Compound: MgZn2Tc
Source: Alexandria via LeMat-Bulk
Functional: PBE
Structure: relaxed

```
MgZn2Tc
1.0
2.7709 0.0000 0.0000
0.0000 2.7709 0.0000
0.0000 0.0000 8.1841
Mg Zn Tc
1 2 1
Cartesian
0.0000 0.0000 0.0000
1.3854 1.3854 2.1834
1.3854 1.3854 6.0007
0.0000 0.0000 4.0921
```

Output
For the total DFT energy (no corrections), the calculation gives -3.4993 eV/atom. The volume is 63 Å³/f.u. The value obtained for the formation energy is 127.8 meV per atom. The value obtained for the density of states at the Fermi level is 3.8 states/eV/f.u. As for the symmetry: No. 123. The energy above the most stable polymorph in this dataset is 138.7 meV/atom.

No. 2
Compound: MgZn2Tc
Source: Alexandria via LeMat-Bulk
Functional: PBE
Structure: relaxed

```
MgZn2Tc
1.0
1.6909 -2.1265 0.0000
1.6909 2.1265 0.0000
0.0000 0.0000 8.6647
Mg Zn Tc
1 2 1
Cartesian
0.0000 0.0000 0.0000
0.0000 0.0000 4.2572
1.6909 0.0000 6.3703
1.6909 0.0000 2.2000
```

Output
For the total DFT energy (no corrections), the calculation gives -3.5027 eV/atom. The volume is 62 Å³/f.u. The value obtained for the formation energy is 124.5 meV per atom. The value obtained for the density of states at the Fermi level is 3.1 states/eV/f.u. As for the symmetry: No. 35. The energy above the most stable polymorph in this dataset is 135.4 meV/atom.

No. 3
Compound: MgZn2Tc
Source: Alexandria via LeMat-Bulk
Functional: PBE
Structure: relaxed

```
MgZn2Tc
1.0
1.4234 0.8218 9.0323
-1.4234 0.8218 9.0323
0.0000 -1.6436 9.0323
Mg Zn Tc
1 2 1
Cartesian
0.0000 0.0000 0.0000
0.0000 0.0000 6.6669
0.0000 0.0000 20.4300
0.0000 0.0000 13.5484
```

Output
For the total DFT energy (no corrections), the calculation gives -3.4931 eV/atom. The volume is 63 Å³/f.u. The value obtained for the formation energy is 134.0 meV per atom. The value obtained for the density of states at the Fermi level is 2.5 states/eV/f.u. As for the symmetry: No. 166. The energy above the most stable polymorph in this dataset is 145.0 meV/atom.